Density functional theory data (GGA+U) for crystalline LiMoP2O7 at its relaxed geometry.

```
LiMoP2O7
1.0
5.442 -0.010 -0.002
-1.257 5.295 -0.002
0.649 0.820 4.505
Li Mo P O
1 1 2 7
direct
0.749 0.251 0.000
0.124 0.876 0.000
0.253 0.334 0.413
0.666 0.747 0.587
0.077 0.195 0.709
0.805 0.923 0.291
0.843 0.648 0.783
0.483 0.875 0.748
0.517 0.483 0.500
0.125 0.517 0.252
0.352 0.157 0.217
```

The total magnetic moment is 3.000 μB per formula unit. The distance to the lowest polymorph of the same formula is 0.024 eV/atom.